DFT (GGA-PBEsol) results for crystalline KTl2Si at its relaxed geometry.

Unit cell a=5.280 b=5.280 c=5.280 alpha=60.00 beta=60.00 gamma=60.00
Fractional coordinates of all 4 atoms:
Tl: 0.750 0.750 0.750
Tl: 0.250 0.250 0.250
Si: 0.000 0.000 0.000
K: 0.500 0.500 0.500

ΔE_f (raw) (meV/atom): 211
E above lowest polymorph (meV/atom): 0

---

DFT (GGA-PBEsol) results for crystalline Y2HgRh at its relaxed geometry.

Unit cell a=3.562 b=4.948 c=4.948 alpha=90.00 beta=90.00 gamma=90.00
Fractional coordinates of all 4 atoms:
Hg: 0.500 0.500 0.500
Rh: 0.500 0.000 0.000
Y: 0.000 0.500 0.000
Y: 0.000 0.000 0.500

Total DFT energy (no corrections) (eV/atom): -6.223

---

DFT (GGA-PBEsol) results for crystalline CuReS2N at its relaxed geometry.

Unit cell a=4.165 b=4.165 c=4.942 alpha=90.00 beta=90.00 gamma=90.00
Each line ends with the local moment (μB).
Fractional coordinates of all 5 atoms:
S: 0.000 0.500 0.000  0.03
S: 0.500 0.000 0.000  0.03
Cu: 0.000 0.000 0.000  0.03
Re: 0.000 0.000 0.500  2.76
N: 0.500 0.500 0.500  0.47

ΔE_f (raw) (meV/atom): 2355

---

DFT (GGA-PBEsol) results for crystalline Mg2FeRe at its relaxed geometry.

Unit cell a=2.678 b=4.827 c=4.871 alpha=99.28 beta=90.00 gamma=106.11
Each line ends with the local moment (μB).
Fractional coordinates of all 4 atoms:
Re: 0.000 0.000 0.500  0.12
Fe: 0.500 0.000 0.000  2.18
Mg: 0.755 0.511 0.752  -0.01
Mg: 0.245 0.489 0.248  -0.01

E above lowest polymorph (meV/atom): 65

---

DFT (GGA-PBEsol) results for crystalline YTlAu2 at its relaxed geometry.

Unit cell a=3.599 b=3.598 c=6.719 alpha=90.00 beta=89.87 gamma=90.00
Fractional coordinates of all 4 atoms:
Tl: 0.500 0.500 0.000
Au: 0.001 0.000 0.266
Au: 0.999 0.000 0.734
Y: 0.500 0.500 0.500

Total DFT energy (no corrections) (eV/atom): -4.856

---

DFT (GGA-PBEsol) results for crystalline BaCa2Zn at its relaxed geometry.

Unit cell a=3.854 b=6.006 c=7.156 alpha=114.81 beta=105.62 gamma=90.00
Fractional coordinates of all 4 atoms:
Zn: 0.500 0.000 0.000
Ca: 0.806 0.806 0.611
Ca: 0.194 0.194 0.389
Ba: 0.000 0.500 0.000

Total DFT energy (no corrections) (eV/atom): -2.068

---

DFT (GGA-PBEsol) results for crystalline Mn2InCo at its relaxed geometry.

Unit cell a=3.557 b=3.959 c=3.959 alpha=90.00 beta=90.00 gamma=90.00
Each line ends with the local moment (μB).
Fractional coordinates of all 4 atoms:
Mn: 0.000 0.500 0.000  3.14
Mn: 0.000 0.000 0.500  3.14
In: 0.500 0.000 0.000  -0.12
Co: 0.500 0.500 0.500  1.57

Total DFT energy (no corrections) (eV/atom): -7.286

---

DFT (GGA-PBEsol) results for crystalline YZn2 at its relaxed geometry.

Unit cell a=4.120 b=5.338 c=5.576 alpha=91.36 beta=111.68 gamma=90.00
Fractional coordinates of all 6 atoms:
Y: 0.704 0.748 0.408
Y: 0.296 0.252 0.592
Zn: 0.586 0.244 0.171
Zn: 0.000 0.500 0.000
Zn: 0.000 0.000 0.000
Zn: 0.414 0.756 0.829

Total DFT energy (no corrections) (eV/atom): -3.674

---

DFT (GGA-PBEsol) results for crystalline LiTcPd3 at its relaxed geometry.

Unit cell a=4.723 b=4.723 c=4.723 alpha=90.00 beta=90.00 gamma=90.00
Fractional coordinates of all 5 atoms:
Pd: 0.000 0.500 0.000
Pd: 0.500 0.000 0.000
Pd: 0.000 0.000 0.500
Tc: 0.000 0.000 0.000
Li: 0.500 0.500 0.500

Total DFT energy (no corrections) (eV/atom): -5.261

---

DFT (GGA-PBEsol) results for crystalline Pr2CuRu at its relaxed geometry.

Unit cell a=4.968 b=4.968 c=4.968 alpha=60.00 beta=60.00 gamma=60.00
Fractional coordinates of all 4 atoms:
Cu: 0.500 0.500 0.500
Pr: 0.750 0.750 0.750
Pr: 0.250 0.250 0.250
Ru: 0.000 0.000 0.000

Total DFT energy (no corrections) (eV/atom): -6.285

---

DFT (GGA-PBEsol) results for crystalline Cr5Re4 at its relaxed geometry.

Unit cell a=2.957 b=6.431 c=6.431 alpha=86.97 beta=76.71 gamma=76.71
Fractional coordinates of all 9 atoms:
Cr: 0.336 0.329 0.000
Cr: 0.000 0.000 0.000
Cr: 0.336 0.000 0.329
Cr: 0.664 0.000 0.671
Cr: 0.664 0.671 0.000
Re: 0.323 0.677 0.677
Re: 0.000 0.323 0.677
Re: 0.677 0.323 0.323
Re: 0.000 0.677 0.323

Total DFT energy (no corrections) (eV/atom): -11.508

---

DFT (GGA-PBEsol) results for crystalline Cr3Fe3GeAs2 at its relaxed geometry.

Unit cell a=3.664 b=5.892 c=5.892 alpha=120.00 beta=90.00 gamma=90.00
Each line ends with the local moment (μB).
Fractional coordinates of all 9 atoms:
Fe: 0.000 0.754 0.754  -0.34
Fe: 0.000 0.246 0.000  -0.34
Fe: 0.000 0.000 0.246  -0.34
Cr: 0.500 0.579 0.000  1.97
Cr: 0.500 0.000 0.579  1.97
Cr: 0.500 0.421 0.421  1.97
Ge: 0.500 0.000 0.000  -0.01
As: 0.000 0.333 0.667  -0.05
As: 0.000 0.667 0.333  -0.05

Total DFT energy (no corrections) (eV/atom): -8.181

---

Copy entry 7 word for word.
DFT (GGA-PBEsol) results for crystalline Mn2InCo at its relaxed geometry.

Unit cell a=3.557 b=3.959 c=3.959 alpha=90.00 beta=90.00 gamma=90.00
Each line ends with the local moment (μB).
Fractional coordinates of all 4 atoms:
Mn: 0.000 0.500 0.000  3.14
Mn: 0.000 0.000 0.500  3.14
In: 0.500 0.000 0.000  -0.12
Co: 0.500 0.500 0.500  1.57

Total DFT energy (no corrections) (eV/atom): -7.286